(1)
First-principles (PBE-GGA) data for a relaxed structure of Tm8ZnSi3Te4, as listed in the Alexandria database.

The structure in POSCAR format:
```
Tm8ZnSi3Te4
1.0
8.3154 0.0000 0.0000
0.0000 8.5115 0.1314
-4.1577 -4.1535 5.8837
Tm Zn Si Te
8 1 3 4
direct
0.2452 0.7231 0.9778
0.2452 0.7229 0.4904
0.2620 0.2857 0.5239
0.7326 0.7231 0.9778
0.2674 0.2769 0.0222
0.7380 0.7143 0.4761
0.7548 0.2771 0.5096
0.7548 0.2769 0.0222
0.0000 0.5000 0.0000
0.5000 0.5000 0.0000
0.5000 0.5000 0.5000
0.0000 0.5000 0.5000
0.5000 0.0000 0.0000
0.5000 0.0000 0.5000
0.0000 0.0000 0.0000
0.0000 0.0000 0.5000
```

Properties
volume = 421 Å³ per cell
final energy = -5.0645 eV per atom
formation energy from raw total energies = -15.150 eV per formula unit


(2)
First-principles (PBE-GGA) data for a relaxed structure of ZrSnRh, as listed in the Alexandria database.

The structure in POSCAR format:
```
ZrSnRh
1.0
-0.5051 -0.5207 3.0251
-3.9367 -2.1801 -1.0325
3.9539 -2.3704 0.2522
Rh Sn Zr
1 1 1
direct
0.1669 0.0000 0.0000
0.1664 0.3333 0.6667
0.6667 0.6667 0.3333
```

Properties
volume = 57 Å³ per cell
final energy = -7.2673 eV per atom
energy of formation = -183 kJ/mol of formula units


(3)
First-principles (PBE-GGA) data for a relaxed structure of Cu2BiTeN, as listed in the Alexandria database.

The structure in POSCAR format:
```
Cu2BiTeN
1.0
-0.2268 3.8367 -3.0169
-4.9233 2.1604 3.1175
2.9732 2.5037 2.9605
Te Bi Cu N
1 1 2 1
direct
0.0000 0.5000 0.0000
0.0000 0.0000 0.0000
0.0000 0.0000 0.5000
0.5000 0.0000 0.0000
0.5000 0.5000 0.5000
```

Properties
volume = 148 Å³ per cell
final energy = -2.9184 eV per atom
formation energy from raw total energies = 8.948 eV per formula unit


(4)
First-principles (PBE-GGA) data for a relaxed structure of LiAs4P4O16, as listed in the Alexandria database.

The structure in POSCAR format:
```
LiAs4P4O16
1.0
-4.7815 -0.0136 1.8164
0.2863 -7.6084 0.6968
3.3958 0.4085 8.9421
Li As P O
1 4 4 16
direct
0.0000 0.1474 0.0321
0.0000 0.2995 0.3143
0.5000 0.6868 0.7222
0.5000 0.7965 0.2483
0.0000 0.1872 0.7475
0.0000 0.6796 0.4152
0.5000 0.3352 0.5984
0.5000 0.1840 0.1040
0.0000 0.8117 0.8766
0.0000 0.6115 0.5649
0.5000 0.4385 0.4635
0.5000 0.1136 0.9593
0.0000 0.8966 0.0132
0.0000 0.5435 0.2973
0.5000 0.4449 0.7351
0.5000 0.0320 0.2289
0.0000 0.9474 0.7429
0.2449 0.6904 0.8593
0.7552 0.2886 0.1286
0.2570 0.2052 0.6157
0.7577 0.8046 0.3826
0.2448 0.2886 0.1286
0.7551 0.6904 0.8593
0.2423 0.8046 0.3826
0.7430 0.2052 0.6157
```

Properties
volume = 374 Å³ per cell
final energy = -6.5174 eV per atom
formation energy from raw total energies = -41.453 eV per formula unit


(5)
First-principles (PBE-GGA) data for a relaxed structure of EuEr3Ni, as listed in the Alexandria database.

The structure in POSCAR format:
```
EuEr3Ni
1.0
5.3290 0.0000 0.0000
0.0000 5.3290 0.0000
0.0000 0.0000 5.3290
Eu Ni Er
1 1 3
direct
0.5000 0.5000 0.5000
0.0000 0.0000 0.0000
0.0000 0.5000 0.0000
0.0000 0.0000 0.5000
0.5000 0.0000 0.0000
```

Properties
volume = 151 Å³ per cell
final energy = -6.0474 eV per atom
energy of formation = -48 kJ/mol of formula units


(6)
First-principles (PBE-GGA) data for a relaxed structure of ReNiBP, as listed in the Alexandria database.

The structure in POSCAR format:
```
ReNiBP
1.0
4.1475 0.0000 0.0011
0.0000 2.9944 0.0000
-1.9719 0.0000 7.4051
Re B P Ni
2 2 2 2
direct
0.7700 0.0000 0.5021
0.7700 0.5000 0.0021
0.6555 0.0000 0.2036
0.6555 0.5000 0.7036
0.2737 0.0000 0.9915
0.2737 0.5000 0.4915
0.1694 0.0000 0.2654
0.1694 0.5000 0.7654
```

Properties
volume = 92 Å³ per cell
final energy = -7.6132 eV per atom
distance to the lowest polymorph of the same formula = 138.8 meV/atom
energy of formation = -13 kJ/mol of formula units


(7)
First-principles (PBE-GGA) data for a relaxed structure of AlPt2W, as listed in the Alexandria database.

The structure in POSCAR format:
```
AlPt2W
1.0
5.4775 0.0020 0.0021
2.8040 4.7054 -0.0021
-3.5300 -3.4281 2.4062
W Pt Al
1 2 1
direct
0.4828 0.4828 0.0000
0.0288 0.0288 0.0000
0.7418 0.2418 0.5000
0.2466 0.7466 0.5000
```

Properties
volume = 62 Å³ per cell
final energy = -7.5565 eV per atom
energy of formation = -140 kJ/mol of formula units


(8)
First-principles (PBE-GGA) data for a relaxed structure of UFeC2, as listed in the Alexandria database.

The structure in POSCAR format:
```
UFeC2
1.0
-2.0986 -2.5701 0.0423
-0.0775 -2.0359 2.6193
-3.9337 1.1167 2.8536
C U Fe
2 1 1
direct
0.2694 0.2694 0.1917
0.7306 0.7306 0.8083
0.5000 0.5000 0.5000
0.0000 0.0000 0.0000
```

Properties
volume = 44 Å³ per cell
final energy = -9.4543 eV per atom
energy of formation = 37 kJ/mol of formula units


(9)
First-principles (PBE-GGA) data for a relaxed structure of Pu2UAs3, as listed in the Alexandria database.

The structure in POSCAR format:
```
Pu2UAs3
1.0
4.1449 0.0000 0.0000
0.0000 4.1449 0.0000
0.0000 0.0000 7.9664
Pu U As
2 1 3
direct
0.5000 0.0000 0.6827
0.0000 0.5000 0.3172
0.5000 0.5000 0.0000
0.5000 0.0000 0.3183
0.0000 0.5000 0.6817
0.0000 0.0000 0.0000
```

Properties
volume = 137 Å³ per cell
final energy = -9.7402 eV per atom
distance to the lowest polymorph of the same formula = 142.2 meV/atom
energy of formation = -438 kJ/mol of formula units


(10)
First-principles (PBE-GGA) data for a relaxed structure of La15Tb4Dy, as listed in the Alexandria database.

The structure in POSCAR format:
```
La15Tb4Dy
1.0
5.2137 0.0000 0.0000
0.0000 5.2137 0.0000
0.0000 0.0000 26.0720
La Tb Dy
15 4 1
direct
0.5000 0.5000 0.0000
0.5000 0.5000 0.2002
0.5000 0.5000 0.4001
0.5000 0.5000 0.5999
0.5000 0.5000 0.7998
0.5000 0.0000 0.0999
0.5000 0.0000 0.3001
0.5000 0.0000 0.5000
0.5000 0.0000 0.6999
0.5000 0.0000 0.9001
0.0000 0.5000 0.0999
0.0000 0.5000 0.3001
0.0000 0.5000 0.5000
0.0000 0.5000 0.6999
0.0000 0.5000 0.9001
0.0000 0.0000 0.2001
0.0000 0.0000 0.4001
0.0000 0.0000 0.5999
0.0000 0.0000 0.7999
0.0000 0.0000 0.0000
```

Properties
volume = 709 Å³ per cell
final energy = -4.8427 eV per atom
energy of formation = 17 kJ/mol of formula units


(11)
First-principles (PBE-GGA) data for a relaxed structure of SmHo2Rh, as listed in the Alexandria database.

The structure in POSCAR format:
```
SmHo2Rh
1.0
-0.8747 1.8688 -2.8107
-1.8140 -2.7089 -1.2366
-7.0663 2.8600 4.1005
Rh Ho Sm
1 2 1
direct
0.5000 0.5000 0.0000
0.0000 0.0000 0.8122
0.0000 0.0000 0.1878
0.5000 0.5000 0.5000
```

Properties
volume = 105 Å³ per cell
final energy = -5.7343 eV per atom
distance to the lowest polymorph of the same formula = 88.0 meV/atom
energy of formation = -165 kJ/mol of formula units


(12)
First-principles (PBE-GGA) data for a relaxed structure of LiZnAs2O8, as listed in the Alexandria database.

The structure in POSCAR format:
```
LiZnAs2O8
1.0
-3.8466 3.9846 0.6728
-1.5476 -5.1471 -1.4962
-0.5272 -1.4340 5.4784
Li Zn As O
1 1 2 8
direct
0.0000 0.0000 0.5000
0.0000 0.0000 0.0000
0.6667 0.3333 0.8401
0.3333 0.6667 0.1599
0.8819 0.6711 0.7572
0.3289 0.2108 0.7572
0.7892 0.1181 0.7572
0.1181 0.3289 0.2428
0.6711 0.7892 0.2428
0.2108 0.8819 0.2428
0.6667 0.3333 0.1527
0.3333 0.6667 0.8473
```

Properties
volume = 153 Å³ per cell
final energy = -5.2195 eV per atom
formation energy from raw total energies = -10.482 eV per formula unit


(13)
First-principles (PBE-GGA) data for a relaxed structure of CaFeIr2, as listed in the Alexandria database.

The structure in POSCAR format:
```
CaFeIr2
1.0
2.7994 0.0000 0.0000
0.0000 3.8016 0.0000
0.0000 0.0000 6.5089
Ca Ir Fe
1 2 1
direct
0.0000 0.0000 0.4906
0.0000 0.0000 0.9811
0.5000 0.5000 0.2043
0.5000 0.5000 0.8241
```

Properties
volume = 69 Å³ per cell
final energy = -6.8897 eV per atom
distance to the lowest polymorph of the same formula = 162.2 meV/atom
energy of formation = 61 kJ/mol of formula units


(14)
First-principles (PBE-GGA) data for a relaxed structure of TiNi2HPd, as listed in the Alexandria database.

The structure in POSCAR format:
```
TiNi2HPd
1.0
-0.0936 0.4023 -3.6576
0.9428 -3.5340 -0.4128
-3.7535 -0.9998 -0.0139
Ni H Pd Ti
2 1 1 1
direct
0.0000 0.5000 0.0000
0.5000 0.0000 0.0000
0.0000 0.0000 0.0000
0.5000 0.5000 0.5000
0.0000 0.0000 0.5000
```

Properties
volume = 53 Å³ per cell
final energy = -5.9354 eV per atom
distance to the lowest polymorph of the same formula = 0.0 meV/atom


(15)
First-principles (PBE-GGA) data for a relaxed structure of YCoCu, as listed in the Alexandria database.

The structure in POSCAR format:
```
YCoCu
1.0
-3.7096 1.7456 -0.0072
0.9170 -2.8543 2.7965
1.2275 2.6178 2.2694
Co Cu Y
1 1 1
direct
0.0000 0.0000 0.1667
0.3333 0.6667 0.1667
0.6667 0.3333 0.6666
```

Properties
volume = 54 Å³ per cell
final energy = -5.9983 eV per atom
energy of formation = -32 kJ/mol of formula units


(16)
First-principles (PBE-GGA) data for a relaxed structure of MgMnCo, as listed in the Alexandria database.

The structure in POSCAR format:
```
MgMnCo
1.0
2.6435 0.0016 0.0006
-1.2708 4.7116 0.0016
-1.3639 -0.3623 6.4305
Mg Mn Co
2 2 2
direct
0.9319 0.9342 0.9889
0.0409 0.4443 0.7179
0.4870 0.6938 0.3498
0.7033 0.1238 0.3518
0.2664 0.9644 0.6290
0.7175 0.4127 0.0935
```

Properties
volume = 80 Å³ per cell
final energy = -5.6553 eV per atom
distance to the lowest polymorph of the same formula = 234.2 meV/atom
energy of formation = 87 kJ/mol of formula units


(17)
First-principles (PBE-GGA) data for a relaxed structure of InPtBr2, as listed in the Alexandria database.

The structure in POSCAR format:
```
InPtBr2
1.0
-1.1191 -2.8521 2.3948
2.6551 -2.3633 -1.5738
5.4212 2.4559 5.4582
Br Pt In
2 1 1
direct
0.0000 0.0000 0.9573
0.5000 0.5000 0.3057
0.5000 0.5000 0.5992
0.0000 0.0000 0.6378
```

Properties
volume = 122 Å³ per cell
final energy = -3.1491 eV per atom
formation energy from raw total energies = -0.471 eV per formula unit
distance to the lowest polymorph of the same formula = 197.9 meV/atom


(18)
First-principles (PBE-GGA) data for a relaxed structure of FeMoW2, as listed in the Alexandria database.

The structure in POSCAR format:
```
FeMoW2
1.0
-1.5289 -2.4008 1.3677
3.1294 -0.2465 3.0656
-2.2078 2.8189 2.4804
Fe Mo W
1 1 2
direct
0.5000 0.0000 0.5000
0.0000 0.5000 0.5000
0.0000 0.0000 0.0000
0.5000 0.5000 0.0000
```

Properties
volume = 60 Å³ per cell
final energy = -11.1731 eV per atom
distance to the lowest polymorph of the same formula = 56.0 meV/atom
energy of formation = 49 kJ/mol of formula units


(19)
First-principles (PBE-GGA) data for a relaxed structure of SrIn3H, as listed in the Alexandria database.

The structure in POSCAR format:
```
SrIn3H
1.0
4.9324 0.0000 0.0000
0.0000 4.9324 0.0000
0.0000 0.0000 4.9324
Sr H In
1 1 3
direct
0.5000 0.5000 0.5000
0.0000 0.0000 0.0000
0.0000 0.5000 0.0000
0.0000 0.0000 0.5000
0.5000 0.0000 0.0000
```

Properties
volume = 120 Å³ per cell
final energy = -2.6715 eV per atom


(20)
First-principles (PBE-GGA) data for a relaxed structure of TaMnTeN2, as listed in the Alexandria database.

The structure in POSCAR format:
```
TaMnTeN2
1.0
-3.2408 -2.0178 0.3910
1.6151 -2.0487 2.8145
-1.7179 3.4347 3.4859
N Te Mn Ta
2 1 1 1
direct
0.0000 0.5000 0.0000
0.5000 0.0000 0.0000
0.0000 0.0000 0.5000
0.0000 0.0000 0.0000
0.5000 0.5000 0.5000
```

Properties
volume = 76 Å³ per cell
final energy = -7.0350 eV per atom
formation energy from raw total energies = 5.640 eV per formula unit
distance to the lowest polymorph of the same formula = 841.3 meV/atom